# K2TlSe | Alexandria | PBE-GGA | relaxed
# ρ: 3.7 g cm⁻³
# uncorrected formation energy: -0.4646 eV per atom
# V: 161.8 Å³/f.u.
# space-group type: P4mm
# relative energy among the computed polymorphs: 152 meV per atom
# VASP energy: -2.476 eV per atom
data_K2TlSe
_space_group_name_H-M_alt 'P 1'
_space_group_IT_number 1
_cell_length_a 4.1029
_cell_length_b 4.1029
_cell_length_c 9.6132
_cell_angle_alpha 90.00
_cell_angle_beta 90.00
_cell_angle_gamma 90.00
loop_
_space_group_symop_operation_xyz
'x,y,z'
loop_
_atom_site_label
_atom_site_fract_x
_atom_site_fract_y
_atom_site_fract_z
_atom_site_occupancy
K1 0.0000 0.0000 0.0000 1
K2 0.5000 0.5000 0.4130 1
Tl1 0.5000 0.5000 0.7609 1
Se1 0.0000 0.0000 0.6214 1

# CdP2BrCl | Alexandria | PBE-GGA | relaxed
# ρ: 3.4 g cm⁻³
# uncorrected formation energy: 0.9264 eV per atom
# V: 141.8 Å³/f.u.
# space-group type: P4/mmm
# relative energy among the computed polymorphs: 121 meV per atom
# VASP energy: -2.124 eV per atom
data_CdP2BrCl
_space_group_name_H-M_alt 'P 1'
_space_group_IT_number 1
_cell_length_a 5.1751
_cell_length_b 5.1751
_cell_length_c 5.2935
_cell_angle_alpha 90.00
_cell_angle_beta 90.00
_cell_angle_gamma 90.00
loop_
_space_group_symop_operation_xyz
'x,y,z'
loop_
_atom_site_label
_atom_site_fract_x
_atom_site_fract_y
_atom_site_fract_z
_atom_site_occupancy
Cd1 0.0000 0.0000 0.0000 1
P1 0.0000 0.5000 0.0000 1
P2 0.5000 0.0000 0.0000 1
Br1 0.0000 0.0000 0.5000 1
Cl1 0.5000 0.5000 0.5000 1

# SmTlRh2 | Alexandria | PBE-GGA | relaxed
# ρ: 12.1 g cm⁻³
# calculated formation energy: -188 kJ/mol of formula units
# V: 77.0 Å³/f.u.
# space-group type: P4/mmm
# VASP energy: -5.934 eV per atom
data_SmTlRh2
_space_group_name_H-M_alt 'P 1'
_space_group_IT_number 1
_cell_length_a 4.5550
_cell_length_b 4.5550
_cell_length_c 3.7119
_cell_angle_alpha 90.00
_cell_angle_beta 90.00
_cell_angle_gamma 90.00
loop_
_space_group_symop_operation_xyz
'x,y,z'
loop_
_atom_site_label
_atom_site_fract_x
_atom_site_fract_y
_atom_site_fract_z
_atom_site_occupancy
Sm1 0.0000 0.0000 0.0000 1
Tl1 0.5000 0.5000 0.0000 1
Rh1 0.0000 0.5000 0.5000 1
Rh2 0.5000 0.0000 0.5000 1

# Ba6NaAu2 | Alexandria | PBE-GGA | relaxed
# ρ: 4.5 g cm⁻³
# calculated formation energy: -250 kJ/mol of formula units
# V: 462.9 Å³/f.u.
# space-group type: R3
# relative energy among the computed polymorphs: 0 meV per atom
# VASP energy: -2.444 eV per atom
data_Ba6NaAu2
_space_group_name_H-M_alt 'P 1'
_space_group_IT_number 1
_cell_length_a 8.9064
_cell_length_b 8.9064
_cell_length_c 8.9064
_cell_angle_alpha 56.82
_cell_angle_beta 56.82
_cell_angle_gamma 56.82
loop_
_space_group_symop_operation_xyz
'x,y,z'
loop_
_atom_site_label
_atom_site_fract_x
_atom_site_fract_y
_atom_site_fract_z
_atom_site_occupancy
Ba1 0.0000 0.4301 0.5699 1
Ba2 0.1508 0.8492 0.4999 1
Ba3 0.4301 0.5699 0.0000 1
Ba4 0.4999 0.1508 0.8492 1
Ba5 0.5699 0.0000 0.4301 1
Ba6 0.8492 0.4999 0.1508 1
Na1 0.9991 0.9991 0.9991 1
Au1 0.4311 0.4311 0.4311 1
Au2 0.5688 0.5688 0.5688 1

# Pr3Tl3SbSe8 | Alexandria | PBE-GGA | relaxed
# ρ: 6.0 g cm⁻³
# uncorrected formation energy: -1.1062 eV per atom
# V: 498.5 Å³/f.u.
# space-group type: R-3m
# VASP energy: -4.669 eV per atom
data_Pr3Tl3SbSe8
_space_group_name_H-M_alt 'P 1'
_space_group_IT_number 1
_cell_length_a 9.2254
_cell_length_b 9.2254
_cell_length_c 9.2254
_cell_angle_alpha 55.60
_cell_angle_beta 55.60
_cell_angle_gamma 55.60
loop_
_space_group_symop_operation_xyz
'x,y,z'
loop_
_atom_site_label
_atom_site_fract_x
_atom_site_fract_y
_atom_site_fract_z
_atom_site_occupancy
Pr1 0.0000 0.5000 0.5000 1
Pr2 0.5000 0.0000 0.5000 1
Pr3 0.5000 0.5000 0.0000 1
Tl1 0.0000 0.0000 0.5000 1
Tl2 0.0000 0.5000 0.0000 1
Tl3 0.5000 0.0000 0.0000 1
Sb1 0.0000 0.0000 0.0000 1
Se1 0.2264 0.2264 0.7508 1
Se2 0.2264 0.7508 0.2264 1
Se3 0.2492 0.7736 0.7736 1
Se4 0.2619 0.2619 0.2619 1
Se5 0.7381 0.7381 0.7381 1
Se6 0.7508 0.2264 0.2264 1
Se7 0.7736 0.2492 0.7736 1
Se8 0.7736 0.7736 0.2492 1

# LiHfAl | Alexandria | PBE-GGA | relaxed
# ρ: 6.3 g cm⁻³
# calculated formation energy: -12 kJ/mol of formula units
# V: 56.1 Å³/f.u.
# space-group type: I4/mmm
# relative energy among the computed polymorphs: 133 meV per atom
# VASP energy: -5.245 eV per atom
data_LiHfAl
_space_group_name_H-M_alt 'P 1'
_space_group_IT_number 1
_cell_length_a 12.3050
_cell_length_b 12.3050
_cell_length_c 12.3050
_cell_angle_alpha 165.80
_cell_angle_beta 165.80
_cell_angle_gamma 20.14
loop_
_space_group_symop_operation_xyz
'x,y,z'
loop_
_atom_site_label
_atom_site_fract_x
_atom_site_fract_y
_atom_site_fract_z
_atom_site_occupancy
Li1 0.2122 0.2122 0.0000 1
Li2 0.7878 0.7878 0.0000 1
Hf1 0.0628 0.0628 0.0000 1
Hf2 0.9372 0.9372 0.0000 1
Al1 0.3587 0.3587 0.0000 1
Al2 0.6413 0.6413 0.0000 1

# UBeP | Alexandria | PBE-GGA | relaxed
# ρ: 8.7 g cm⁻³
# calculated formation energy: 0 kJ/mol of formula units
# V: 53.2 Å³/f.u.
# space-group type: I4mm
# relative energy among the computed polymorphs: 619 meV per atom
# VASP energy: -6.809 eV per atom
data_UBeP
_space_group_name_H-M_alt 'P 1'
_space_group_IT_number 1
_cell_length_a 4.5682
_cell_length_b 4.5682
_cell_length_c 4.5682
_cell_angle_alpha 130.94
_cell_angle_beta 130.94
_cell_angle_gamma 71.91
loop_
_space_group_symop_operation_xyz
'x,y,z'
loop_
_atom_site_label
_atom_site_fract_x
_atom_site_fract_y
_atom_site_fract_z
_atom_site_occupancy
U1 0.0000 0.0000 0.0000 1
Be1 0.6371 0.6371 0.0000 1
P1 0.3645 0.3645 0.0000 1

# Tb8Nd4Ho3 | Alexandria | PBE-GGA | relaxed
# ρ: 7.7 g cm⁻³
# calculated formation energy: 525 kJ/mol of formula units
# V: 508.0 Å³/f.u.
# space-group type: C2/m
# VASP energy: -4.294 eV per atom
data_Tb8Nd4Ho3
_space_group_name_H-M_alt 'P 1'
_space_group_IT_number 1
_cell_length_a 9.3039
_cell_length_b 9.3039
_cell_length_c 6.7891
_cell_angle_alpha 111.26
_cell_angle_beta 111.26
_cell_angle_gamma 87.25
loop_
_space_group_symop_operation_xyz
'x,y,z'
loop_
_atom_site_label
_atom_site_fract_x
_atom_site_fract_y
_atom_site_fract_z
_atom_site_occupancy
Tb1 0.1393 0.8607 0.0000 1
Tb2 0.2283 0.2283 0.4577 1
Tb3 0.2337 0.2337 0.9854 1
Tb4 0.2442 0.7558 0.5000 1
Tb5 0.7558 0.2442 0.5000 1
Tb6 0.7663 0.7663 0.0146 1
Tb7 0.7717 0.7717 0.5423 1
Tb8 0.8607 0.1393 0.0000 1
Nd1 0.0000 0.5000 0.5000 1
Nd2 0.5000 0.0000 0.5000 1
Nd3 0.5000 0.5000 0.0000 1
Nd4 0.5000 0.5000 0.5000 1
Ho1 0.0000 0.0000 0.5000 1
Ho2 0.0000 0.5000 0.0000 1
Ho3 0.5000 0.0000 0.0000 1

# TbZr2Pa | Alexandria | PBE-GGA | relaxed
# ρ: 9.1 g cm⁻³
# calculated formation energy: 43 kJ/mol of formula units
# V: 104.6 Å³/f.u.
# space-group type: P4/mmm
# relative energy among the computed polymorphs: 0 meV per atom
# VASP energy: -7.694 eV per atom
data_TbZr2Pa
_space_group_name_H-M_alt 'P 1'
_space_group_IT_number 1
_cell_length_a 3.8404
_cell_length_b 3.8404
_cell_length_c 7.0932
_cell_angle_alpha 90.00
_cell_angle_beta 90.00
_cell_angle_gamma 90.00
loop_
_space_group_symop_operation_xyz
'x,y,z'
loop_
_atom_site_label
_atom_site_fract_x
_atom_site_fract_y
_atom_site_fract_z
_atom_site_occupancy
Tb1 0.0000 0.0000 0.0000 1
Zr1 0.5000 0.5000 0.2909 1
Zr2 0.5000 0.5000 0.7091 1
Pa1 0.0000 0.0000 0.5000 1

# KTi2MnCu | Alexandria | PBE-GGA | relaxed
# ρ: 3.5 g cm⁻³
# calculated formation energy: 812 kJ/mol of formula units
# V: 120.4 Å³/f.u.
# space-group type: P4/mmm
# VASP energy: -4.348 eV per atom
data_KTi2MnCu
_space_group_name_H-M_alt 'P 1'
_space_group_IT_number 1
_cell_length_a 4.7525
_cell_length_b 4.7525
_cell_length_c 5.3319
_cell_angle_alpha 90.00
_cell_angle_beta 90.00
_cell_angle_gamma 90.00
loop_
_space_group_symop_operation_xyz
'x,y,z'
loop_
_atom_site_label
_atom_site_fract_x
_atom_site_fract_y
_atom_site_fract_z
_atom_site_occupancy
K1 0.0000 0.0000 0.0000 1
Ti1 0.0000 0.5000 0.5000 1
Ti2 0.5000 0.0000 0.5000 1
Mn1 0.5000 0.5000 0.0000 1
Cu1 0.0000 0.0000 0.5000 1

# Ag2TeO3 | Alexandria | PBE-GGA | relaxed
# ρ: 6.7 g cm⁻³
# uncorrected formation energy: -0.5526 eV per atom
# V: 97.5 Å³/f.u.
# space-group type: P2_1/c
# relative energy among the computed polymorphs: 0 meV per atom
# VASP energy: -4.506 eV per atom
data_Ag2TeO3
_space_group_name_H-M_alt 'P 1'
_space_group_IT_number 1
_cell_length_a 4.9745
_cell_length_b 10.7199
_cell_length_c 7.3209
_cell_angle_alpha 90.00
_cell_angle_beta 92.06
_cell_angle_gamma 90.00
loop_
_space_group_symop_operation_xyz
'x,y,z'
loop_
_atom_site_label
_atom_site_fract_x
_atom_site_fract_y
_atom_site_fract_z
_atom_site_occupancy
Ag1 0.2412 0.2380 0.1326 1
Ag2 0.2412 0.2620 0.6326 1
Ag3 0.2448 0.5704 0.1112 1
Ag4 0.2448 0.9296 0.6112 1
Ag5 0.7552 0.0704 0.3888 1
Ag6 0.7552 0.4296 0.8888 1
Ag7 0.7588 0.7380 0.3674 1
Ag8 0.7588 0.7620 0.8674 1
Te1 0.2586 0.6034 0.6332 1
Te2 0.2586 0.8966 0.1332 1
Te3 0.7414 0.1034 0.8668 1
Te4 0.7414 0.3966 0.3668 1
O1 0.2230 0.7456 0.7893 1
O2 0.2230 0.7544 0.2893 1
O3 0.2530 0.0209 0.3202 1
O4 0.2530 0.4791 0.8202 1
O5 0.3573 0.1148 0.8790 1
O6 0.3573 0.3852 0.3790 1
O7 0.6427 0.6148 0.6210 1
O8 0.6427 0.8852 0.1210 1
O9 0.7470 0.5209 0.1798 1
O10 0.7470 0.9791 0.6798 1
O11 0.7770 0.2456 0.7107 1
O12 0.7770 0.2544 0.2107 1

# Y2SiPt | Alexandria | PBE-GGA | relaxed
# ρ: 6.7 g cm⁻³
# uncorrected formation energy: -0.7486 eV per atom
# V: 98.7 Å³/f.u.
# space-group type: P4mm
# VASP energy: -6.847 eV per atom
data_Y2SiPt
_space_group_name_H-M_alt 'P 1'
_space_group_IT_number 1
_cell_length_a 4.1068
_cell_length_b 4.1068
_cell_length_c 5.8518
_cell_angle_alpha 90.00
_cell_angle_beta 90.00
_cell_angle_gamma 90.00
loop_
_space_group_symop_operation_xyz
'x,y,z'
loop_
_atom_site_label
_atom_site_fract_x
_atom_site_fract_y
_atom_site_fract_z
_atom_site_occupancy
Y1 0.0000 0.0000 0.0000 1
Y2 0.5000 0.5000 0.4960 1
Si1 0.5000 0.5000 0.9963 1
Pt1 0.0000 0.0000 0.4996 1

# Cs2KPd | Alexandria | PBE-GGA | relaxed
# ρ: 2.9 g cm⁻³
# calculated formation energy: 55 kJ/mol of formula units
# V: 232.1 Å³/f.u.
# space-group type: P4/mmm
# relative energy among the computed polymorphs: 10 meV per atom
# VASP energy: -1.858 eV per atom
data_Cs2KPd
_space_group_name_H-M_alt 'P 1'
_space_group_IT_number 1
_cell_length_a 4.3519
_cell_length_b 4.3519
_cell_length_c 12.2569
_cell_angle_alpha 90.00
_cell_angle_beta 90.00
_cell_angle_gamma 90.00
loop_
_space_group_symop_operation_xyz
'x,y,z'
loop_
_atom_site_label
_atom_site_fract_x
_atom_site_fract_y
_atom_site_fract_z
_atom_site_occupancy
Cs1 0.0000 0.0000 0.1564 1
Cs2 0.0000 0.0000 0.8436 1
K1 0.5000 0.5000 0.5000 1
Pd1 0.5000 0.5000 0.0000 1

# KAl2Tc | Alexandria | PBE-GGA | relaxed
# ρ: 4.3 g cm⁻³
# calculated formation energy: 267 kJ/mol of formula units
# V: 73.9 Å³/f.u.
# space-group type: P4/mmm
# relative energy among the computed polymorphs: 609 meV per atom
# VASP energy: -4.045 eV per atom
data_KAl2Tc
_space_group_name_H-M_alt 'P 1'
_space_group_IT_number 1
_cell_length_a 5.1042
_cell_length_b 5.1042
_cell_length_c 2.8368
_cell_angle_alpha 90.00
_cell_angle_beta 90.00
_cell_angle_gamma 90.00
loop_
_space_group_symop_operation_xyz
'x,y,z'
loop_
_atom_site_label
_atom_site_fract_x
_atom_site_fract_y
_atom_site_fract_z
_atom_site_occupancy
K1 0.0000 0.0000 0.0000 1
Al1 0.0000 0.5000 0.5000 1
Al2 0.5000 0.0000 0.5000 1
Tc1 0.5000 0.5000 0.0000 1

# MgTlZn2 | Alexandria | PBE-GGA | relaxed
# ρ: 7.0 g cm⁻³
# calculated formation energy: 46 kJ/mol of formula units
# V: 85.8 Å³/f.u.
# space-group type: R-3m
# relative energy among the computed polymorphs: 66 meV per atom
# VASP energy: -1.508 eV per atom
data_MgTlZn2
_space_group_name_H-M_alt 'P 1'
_space_group_IT_number 1
_cell_length_a 9.1355
_cell_length_b 9.1355
_cell_length_c 9.1355
_cell_angle_alpha 21.01
_cell_angle_beta 21.01
_cell_angle_gamma 21.01
loop_
_space_group_symop_operation_xyz
'x,y,z'
loop_
_atom_site_label
_atom_site_fract_x
_atom_site_fract_y
_atom_site_fract_z
_atom_site_occupancy
Mg1 0.0000 0.0000 0.0000 1
Tl1 0.5000 0.5000 0.5000 1
Zn1 0.2549 0.2549 0.2549 1
Zn2 0.7451 0.7451 0.7451 1

# Dy2Ag3SnSe6 | Alexandria | PBE-GGA | relaxed
# ρ: 6.9 g cm⁻³
# uncorrected formation energy: -0.8584 eV per atom
# V: 299.1 Å³/f.u.
# space-group type: C2/m
# VASP energy: -4.414 eV per atom
data_Dy2Ag3SnSe6
_space_group_name_H-M_alt 'P 1'
_space_group_IT_number 1
_cell_length_a 9.8545
_cell_length_b 9.8545
_cell_length_c 7.7945
_cell_angle_alpha 101.62
_cell_angle_beta 101.62
_cell_angle_gamma 23.82
loop_
_space_group_symop_operation_xyz
'x,y,z'
loop_
_atom_site_label
_atom_site_fract_x
_atom_site_fract_y
_atom_site_fract_z
_atom_site_occupancy
Dy1 0.1715 0.1715 0.3277 1
Dy2 0.8285 0.8285 0.6723 1
Ag1 0.2003 0.2003 0.8455 1
Ag2 0.5000 0.5000 0.5000 1
Ag3 0.7997 0.7997 0.1545 1
Sn1 0.5000 0.5000 0.0000 1
Se1 0.0153 0.0153 0.2710 1
Se2 0.3250 0.3250 0.4116 1
Se3 0.3460 0.3460 0.9390 1
Se4 0.6540 0.6540 0.0610 1
Se5 0.6750 0.6750 0.5884 1
Se6 0.9847 0.9847 0.7290 1

# MgInNi2 | Alexandria | PBE-GGA | relaxed
# ρ: 7.1 g cm⁻³
# calculated formation energy: -56 kJ/mol of formula units
# V: 59.8 Å³/f.u.
# space-group type: Pmmm
# VASP energy: -4.119 eV per atom
data_MgInNi2
_space_group_name_H-M_alt 'P 1'
_space_group_IT_number 1
_cell_length_a 3.1056
_cell_length_b 3.2208
_cell_length_c 5.9818
_cell_angle_alpha 90.00
_cell_angle_beta 90.00
_cell_angle_gamma 90.00
loop_
_space_group_symop_operation_xyz
'x,y,z'
loop_
_atom_site_label
_atom_site_fract_x
_atom_site_fract_y
_atom_site_fract_z
_atom_site_occupancy
Mg1 0.0000 0.0000 0.0000 1
In1 0.0000 0.0000 0.5000 1
Ni1 0.5000 0.5000 0.2488 1
Ni2 0.5000 0.5000 0.7512 1

# Ce4PAuSe2 | Alexandria | PBE-GGA | relaxed
# ρ: 7.4 g cm⁻³
# uncorrected formation energy: -1.3784 eV per atom
# V: 211.2 Å³/f.u.
# space-group type: P2/m
# VASP energy: -6.302 eV per atom
data_Ce4PAuSe2
_space_group_name_H-M_alt 'P 1'
_space_group_IT_number 1
_cell_length_a 7.2871
_cell_length_b 4.1630
_cell_length_c 7.3622
_cell_angle_alpha 90.00
_cell_angle_beta 108.99
_cell_angle_gamma 90.00
loop_
_space_group_symop_operation_xyz
'x,y,z'
loop_
_atom_site_label
_atom_site_fract_x
_atom_site_fract_y
_atom_site_fract_z
_atom_site_occupancy
Ce1 0.2422 0.0000 0.2360 1
Ce2 0.2486 0.5000 0.7604 1
Ce3 0.7514 0.5000 0.2396 1
Ce4 0.7578 0.0000 0.7640 1
P1 0.0000 0.5000 0.0000 1
Au1 0.0000 0.0000 0.5000 1
Se1 0.5000 0.0000 0.0000 1
Se2 0.5000 0.5000 0.5000 1

# BaAlAg | Alexandria | PBE-GGA | relaxed
# ρ: 4.5 g cm⁻³
# calculated formation energy: 30 kJ/mol of formula units
# V: 99.4 Å³/f.u.
# space-group type: F-43m
# VASP energy: -2.737 eV per atom
data_BaAlAg
_space_group_name_H-M_alt 'P 1'
_space_group_IT_number 1
_cell_length_a 5.1990
_cell_length_b 5.1990
_cell_length_c 5.1990
_cell_angle_alpha 60.00
_cell_angle_beta 60.00
_cell_angle_gamma 60.00
loop_
_space_group_symop_operation_xyz
'x,y,z'
loop_
_atom_site_label
_atom_site_fract_x
_atom_site_fract_y
_atom_site_fract_z
_atom_site_occupancy
Ba1 0.0000 0.0000 0.0000 1
Al1 0.5000 0.5000 0.5000 1
Ag1 0.2500 0.2500 0.2500 1

# ZrCu2Si | Alexandria | PBE-GGA | relaxed
# ρ: 6.6 g cm⁻³
# uncorrected formation energy: -0.2283 eV per atom
# V: 62.4 Å³/f.u.
# space-group type: P2/m
# VASP energy: -5.769 eV per atom
data_ZrCu2Si
_space_group_name_H-M_alt 'P 1'
_space_group_IT_number 1
_cell_length_a 2.9631
_cell_length_b 4.2385
_cell_length_c 4.9679
_cell_angle_alpha 90.00
_cell_angle_beta 90.14
_cell_angle_gamma 90.00
loop_
_space_group_symop_operation_xyz
'x,y,z'
loop_
_atom_site_label
_atom_site_fract_x
_atom_site_fract_y
_atom_site_fract_z
_atom_site_occupancy
Zr1 0.0000 0.0000 0.0000 1
Cu1 0.4993 0.5000 0.7497 1
Cu2 0.5007 0.5000 0.2503 1
Si1 0.5000 0.0000 0.5000 1